Computed, not measured: Co2NiRh after structural relaxation at the GGA-PBEsol level of DFT.

It has space group Cm (No. 8), with a = 8.3334 Å, b = 2.5480 Å, c = 4.3521 Å, α = 90.00°, β = 100.83° and γ = 90.00°. The distinct sites, in fractional coordinates, are Co at (0.0000, 0.0000, 0.0000), Co at (0.2449, 0.5000, 0.2397), Ni at (0.2515, 0.0000, 0.7606) and Rh at (0.4966, 0.0000, 0.4974).

The energy of formation is 5.43 kJ/mol of atoms. The value obtained for the final energy is -7.3863 eV per atom. The total magnetization is 9.24 μB/cell.